A relaxed structure of Ac2CdInPd6, computed with PBE.

## Properties
Space group: No. 225
Energy of formation from the pure elements: -0.204 eV per atom
Size of the total moment: 0.00 μB per atom
Energy: -0.1656 Ha/atom

```
data_Ac2CdInPd6
_chemical_formula_sum 'Ac2 Cd1 In1 Pd6'
_symmetry_space_group_name_H-M 'P 1'
_symmetry_Int_Tables_number 1
_symmetry_space_group_name_Hall 'P 1'
_cell_length_a 7.0930
_cell_length_b 7.0930
_cell_length_c 7.0930
_cell_angle_alpha 60.00
_cell_angle_beta 60.00
_cell_angle_gamma 90.00
loop_
_atom_site_label
_atom_site_type_symbol
_atom_site_fract_x
_atom_site_fract_y
_atom_site_fract_z
Pd1 Pd 0.2491 0.2491 0.5019
In1 In 0.0000 0.0000 0.0000
Pd2 Pd 0.2490 0.7510 0.0000
Pd3 Pd 0.7510 0.2490 0.0000
Ac1 Ac 0.2500 0.7500 0.5000
Pd4 Pd 0.7509 0.7509 0.4981
Cd1 Cd 0.5000 0.5000 0.0000
Ac2 Ac 0.7500 0.2500 0.5000
Pd5 Pd 0.2491 0.2491 0.0000
Pd6 Pd 0.7509 0.7509 0.0000
```

---

A relaxed structure of NaInTe2N, computed with PBE.

## Properties
Space group: No. 123
Distance to the lowest polymorph of the same formula: 0 meV per atom
Size of the total moment: 0.42 μB per atom
Energy: -0.1198 Ha/atom
E_form (uncorrected): 0.474 eV/atom

```
data_NaInTe2N
_chemical_formula_sum 'Na1 In1 Te2 N1'
_symmetry_space_group_name_H-M 'P 1'
_symmetry_Int_Tables_number 1
_symmetry_space_group_name_Hall 'P 1'
_cell_length_a 6.0751
_cell_length_b 6.0751
_cell_length_c 4.0571
_cell_angle_alpha 90.00
_cell_angle_beta 90.00
_cell_angle_gamma 90.00
loop_
_atom_site_label
_atom_site_type_symbol
_atom_site_fract_x
_atom_site_fract_y
_atom_site_fract_z
Te1 Te 0.5000 0.0000 0.0000
In1 In 0.0000 0.0000 0.0000
N1 N 0.0000 0.0000 0.5000
Te2 Te 0.0000 0.5000 0.0000
Na1 Na 0.5000 0.5000 0.5000
```

---

A relaxed structure of K2TlH6Pt, computed with PBE.

## Properties
Space group: No. 164
Size of the total moment: 0.00 μB per atom
Energy: -0.1219 Ha/atom

```
data_K2TlH6Pt
_chemical_formula_sum 'K2 Tl1 H6 Pt1'
_symmetry_space_group_name_H-M 'P 1'
_symmetry_Int_Tables_number 1
_symmetry_space_group_name_Hall 'P 1'
_cell_length_a 7.1159
_cell_length_b 5.4874
_cell_length_c 5.4874
_cell_angle_alpha 120.00
_cell_angle_beta 90.00
_cell_angle_gamma 90.00
loop_
_atom_site_label
_atom_site_type_symbol
_atom_site_fract_x
_atom_site_fract_y
_atom_site_fract_z
H1 H 0.8637 0.7159 0.8580
K1 K 0.8185 0.6667 0.3333
H2 H 0.1363 0.2841 0.1420
Pt1 Pt 0.0000 0.0000 0.0000
H3 H 0.1363 0.8580 0.7159
H4 H 0.8637 0.1420 0.8580
H5 H 0.8637 0.1420 0.2841
H6 H 0.1363 0.8580 0.1420
K2 K 0.1815 0.3333 0.6667
Tl1 Tl 0.5000 0.0000 0.0000
```

---

A relaxed structure of Zn2CoCu2, computed with PBE.

## Properties
Space group: No. 65
Energy of formation from the pure elements: 0.039 eV per atom
Distance to the lowest polymorph of the same formula: 0 meV per atom
Size of the total moment: 0.17 μB per atom
Energy: -0.1297 Ha/atom

```
data_Zn2CoCu2
_chemical_formula_sum 'Zn2 Co1 Cu2'
_symmetry_space_group_name_H-M 'P 1'
_symmetry_Int_Tables_number 1
_symmetry_space_group_name_Hall 'P 1'
_cell_length_a 2.5626
_cell_length_b 2.6193
_cell_length_c 9.5830
_cell_angle_alpha 82.15
_cell_angle_beta 90.00
_cell_angle_gamma 90.00
loop_
_atom_site_label
_atom_site_type_symbol
_atom_site_fract_x
_atom_site_fract_y
_atom_site_fract_z
Cu1 Cu 0.0000 0.8060 0.3880
Co1 Co 0.0000 0.0000 0.0000
Cu2 Cu 0.0000 0.1940 0.6120
Zn1 Zn 0.5000 0.4060 0.1881
Zn2 Zn 0.5000 0.5940 0.8119
```